Below is crystalline Na12HgAu6 at its relaxed geometry, with properties calculated at the PBE level.

symmetry	Im-3
Fermi-level density of states	0.25	states/eV per atom
calculated formation energy	-3.8	eV/f.u.
energy above the lowest structure with this stoichiometry	19	meV/atom
size of the total moment	0.00	μB/cell

Cell: 8.7434 8.7434 8.7434 Å, 109.47 109.47 109.47°
Fractional positions:
Na 0.8234 0.7119 0.5352
Na 0.5352 0.8234 0.7119
Na 0.8885 0.1766 0.7119
Na 0.4648 0.1766 0.2881
Au 0.6370 0.5000 0.1370
Na 0.1766 0.7119 0.8885
Au 0.3630 0.5000 0.8630
Na 0.1766 0.2881 0.4648
Na 0.8234 0.2881 0.1115
Au 0.8630 0.3630 0.5000
Au 0.5000 0.8630 0.3630
Na 0.7119 0.8885 0.1766
Au 0.1370 0.6370 0.5000
Au 0.5000 0.1370 0.6370
Na 0.1115 0.8234 0.2881
Na 0.2881 0.4648 0.1766
Na 0.7119 0.5352 0.8234
Hg 0.0000 0.0000 0.0000
Na 0.2881 0.1115 0.8234